(1)
# NbTePt3

A crystal of NbTePt3 relaxed with PBEsol (SCAN, the Alexandria database).

Values from the calculation:
Space-group type: Pm-3m
N(E_F): 0.8718 states/eV/atom
Excess energy over the best structure of this formula in the dataset: 33 meV per atom
Raw total energy: -2.030 hartree per atom

Unit cell a=4.8379 b=4.8379 c=4.8379 alpha=90.00 beta=90.00 gamma=90.00
Fractional positions:
Nb1 0.0000 0.0000 0.0000
Te1 0.5000 0.5000 0.5000
Pt1 0.0000 0.0000 0.5000
Pt2 0.0000 0.5000 0.0000
Pt3 0.5000 0.0000 0.0000

(2)
# TaTeN2

A crystal of TaTeN2 relaxed with PBEsol (SCAN, the Alexandria database).

Values from the calculation:
Space-group type: R-3m
N(E_F): 0.4715 states/eV/atom
Raw total energy: -1.097 hartree per atom

Unit cell a=3.2810 b=3.2810 c=19.3660 alpha=90.00 beta=90.00 gamma=120.00
Fractional positions:
Ta1 0.0000 0.0000 0.0000
Ta2 0.3333 0.6667 0.6667
Ta3 0.6667 0.3333 0.3333
Te1 0.0000 0.0000 0.5000
Te2 0.3333 0.6667 0.1667
Te3 0.6667 0.3333 0.8333
N1 0.0000 0.0000 0.1042
N2 0.0000 0.0000 0.8958
N3 0.3333 0.6667 0.5625
N4 0.3333 0.6667 0.7709
N5 0.6667 0.3333 0.2291
N6 0.6667 0.3333 0.4375

(3)
# Ca2YSe

A crystal of Ca2YSe relaxed with PBEsol (SCAN, the Alexandria database).

Values from the calculation:
Space-group type: Fm-3m
N(E_F): 1.2955 states/eV/atom
Excess energy over the best structure of this formula in the dataset: 809 meV per atom
Raw total energy: -0.620 hartree per atom

Unit cell a=7.7339 b=7.7339 c=7.7339 alpha=90.00 beta=90.00 gamma=90.00
Fractional positions:
Ca1 0.2500 0.2500 0.2500
Ca2 0.2500 0.2500 0.7500
Ca3 0.2500 0.7500 0.2500
Ca4 0.2500 0.7500 0.7500
Ca5 0.7500 0.2500 0.2500
Ca6 0.7500 0.2500 0.7500
Ca7 0.7500 0.7500 0.2500
Ca8 0.7500 0.7500 0.7500
Y1 0.0000 0.0000 0.0000
Y2 0.0000 0.5000 0.5000
Y3 0.5000 0.0000 0.5000
Y4 0.5000 0.5000 0.0000
Se1 0.0000 0.0000 0.5000
Se2 0.0000 0.5000 0.0000
Se3 0.5000 0.0000 0.0000
Se4 0.5000 0.5000 0.5000